<one>
Material: Mn2H2Os
Method: DFT, PBE
State: relaxed

a b c (Å): 5.649 5.649 2.678
angles (deg): 90.00 90.00 90.00
Atoms (fractional coordinates):
Mn 0.126 0.374 0.000
Mn 0.374 0.874 0.000
Mn 0.626 0.126 0.000
Mn 0.874 0.626 0.000
H 0.211 0.711 0.500
H 0.289 0.211 0.500
H 0.711 0.789 0.500
H 0.789 0.289 0.500
Os 0.000 0.000 0.500
Os 0.500 0.500 0.500

Results
- Volume: 8.54 A^3/atom
- DOS(E_F): 0.745 states/eV/atom

=====

<two>
Material: Mn2H2Os
Method: DFT, PBE
State: relaxed

a b c (Å): 6.149 6.149 6.149
angles (deg): 154.64 154.64 36.18
Atoms (fractional coordinates):
Mn 0.152 0.152 0.000
Mn 0.848 0.848 0.000
H 0.250 0.750 0.500
H 0.750 0.250 0.500
Os 0.500 0.500 0.000

Results
- Volume: 8.52 A^3/atom
- DOS(E_F): 0.543 states/eV/atom

=====

Of them, the most stable is <two> and the least stable is <one>.

=====

<one>
Material: Mn2HOsPt
Method: DFT, PBE
State: relaxed

a b c (Å): 3.841 3.841 3.757
angles (deg): 90.00 90.00 90.00
Atoms (fractional coordinates):
Mn 0.000 0.500 0.000
Mn 0.500 0.000 0.000
H 0.000 0.000 0.000
Os 0.500 0.500 0.500
Pt 0.000 0.000 0.500

Results
- Volume: 11.08 A^3/atom
- DOS(E_F): 1.210 states/eV/atom

=====

<two>
Material: Mn2HOsPt
Method: DFT, PBE
State: relaxed

a b c (Å): 3.840 3.840 3.758
angles (deg): 90.00 90.00 90.00
Atoms (fractional coordinates):
Mn 0.000 0.500 0.000
Mn 0.500 0.000 0.000
H 0.000 0.000 0.000
Os 0.000 0.000 0.500
Pt 0.500 0.500 0.500

Results
- Volume: 11.08 A^3/atom
- DOS(E_F): 1.240 states/eV/atom

=====

Of them, the most stable is <two> and the least stable is <one>.

=====

<one>
Material: Mn2ReHOs
Method: DFT, PBE
State: relaxed

a b c (Å): 3.756 3.756 3.815
angles (deg): 90.00 90.00 90.00
Atoms (fractional coordinates):
Mn 0.000 0.500 0.000
Mn 0.500 0.000 0.000
Re 0.000 0.000 0.500
H 0.000 0.000 0.000
Os 0.500 0.500 0.500

Results
- Volume: 10.76 A^3/atom
- DOS(E_F): 0.853 states/eV/atom

=====

<two>
Material: Mn2ReHOs
Method: DFT, PBE
State: relaxed

a b c (Å): 3.777 3.777 3.772
angles (deg): 90.00 90.00 90.00
Atoms (fractional coordinates):
Mn 0.000 0.500 0.000
Mn 0.500 0.000 0.000
Re 0.000 0.000 0.500
H 0.500 0.500 0.000
Os 0.500 0.500 0.500

Results
- Volume: 10.76 A^3/atom
- DOS(E_F): 0.669 states/eV/atom

=====

Of them, the most stable is <two> and the least stable is <one>.

=====

<one>
Material: MnHOsRh2
Method: DFT, PBE
State: relaxed

a b c (Å): 3.792 3.792 3.880
angles (deg): 90.00 90.00 90.00
Atoms (fractional coordinates):
Mn 0.000 0.000 0.000
H 0.000 0.000 0.500
Os 0.500 0.500 0.000
Rh 0.000 0.500 0.500
Rh 0.500 0.000 0.500

Results
- Volume: 11.16 A^3/atom
- DOS(E_F): 1.177 states/eV/atom

=====

<two>
Material: MnHOsRh2
Method: DFT, PBE
State: relaxed

a b c (Å): 3.863 3.863 3.901
angles (deg): 90.00 90.00 90.00
Atoms (fractional coordinates):
Mn 0.000 0.000 0.000
H 0.500 0.500 0.500
Os 0.500 0.500 0.000
Rh 0.000 0.500 0.500
Rh 0.500 0.000 0.500

Results
- Volume: 11.64 A^3/atom
- DOS(E_F): 0.889 states/eV/atom

=====

Of them, the most stable is <two> and the least stable is <one>.